(1)
5
Lattice="3.894 0.000 0.000 0.000 3.894 0.000 0.000 0.000 6.693" Properties=species:S:1:pos:R:3 comment="CdBP2Cl | Alexandria | GGA-PBE | relaxed" de_polymorph_mev_per_atom=0 vol_a3_per_cell=101.5 crystal_system=tetragonal dft_energy_ev_per_atom=-3.487 raw_formation_energy_ev_per_fu=2.83 space_group="No. 123" pbc="T T T"
Cd 0.000 0.000 0.000
B 1.947 1.947 3.347
P 0.000 1.947 3.347
P 1.947 0.000 3.347
Cl 1.947 1.947 0.000

---

(2)
10
Lattice="8.347 0.000 0.000 0.000 4.719 0.000 -3.298 0.000 9.791" Properties=species:S:1:pos:R:3 comment="Ba2TlSbP | Alexandria | GGA-PBE | relaxed" vol_a3_per_cell=385.6 crystal_system=monoclinic dft_energy_ev_per_atom=-3.850 raw_formation_energy_ev_per_fu=-3.50 space_group="No. 11" pbc="T T T"
Ba 0.330 1.180 3.873
Ba -1.478 1.180 9.480
Ba 6.527 3.539 0.311
Ba 4.719 3.539 5.917
Tl 1.556 1.180 7.772
Tl 3.493 3.539 2.018
Sb 0.008 3.539 6.721
Sb 5.041 1.180 3.070
P 0.877 3.539 1.817
P 4.172 1.180 7.974

---

(3)
4
Lattice="-1.834 1.834 3.851 1.834 -1.834 3.851 1.834 1.834 -3.851" Properties=species:S:1:pos:R:3 comment="TcNi2Pt | Alexandria | GGA-PBE | relaxed" de_polymorph_mev_per_atom=6 vol_a3_per_cell=51.8 crystal_system=tetragonal dft_energy_ev_per_atom=-7.067 space_group="No. 119" pbc="T T T"
Tc 0.000 0.000 0.000
Ni 0.000 0.000 3.851
Ni 0.000 1.834 1.926
Pt 1.834 0.000 1.926

---

(4)
4
Lattice="2.695 0.000 0.000 0.000 3.755 0.000 0.000 0.000 5.278" Properties=species:S:1:pos:R:3 comment="Mn2IrRu | Alexandria | GGA-PBE | relaxed" vol_a3_per_cell=53.4 crystal_system=orthorhombic dft_energy_ev_per_atom=-9.176 space_group="No. 25" pbc="T T T"
Mn 0.000 0.000 0.000
Mn 1.348 1.877 1.296
Ir 1.348 1.877 3.952
Ru 0.000 0.000 2.608